Crystalline ScBiSb2I at its relaxed geometry, computed with PBE-GGA.

Cell: 5.670 5.670 5.377 Å, 90.00 90.00 90.00°
Space group P4/mmm (No. 123)
Unique sites:
Sc  0.000  0.000  0.000 (multiplicity 1)
Bi  0.500  0.500  0.500 (multiplicity 1)
Sb  0.000  0.500  0.000 (multiplicity 2)
I  0.000  0.000  0.500 (multiplicity 1)

Computed properties:
Spin magnetization (μB per formula unit): 0.0
Fermi-level density of states (states/eV/cell): 4.27
Formation energy from raw total energies (eV per atom): 0.094
Energy above the most stable polymorph in this dataset (meV per atom): 0